*a*
Material: VSbPb3
Method: DFT, PBE
State: optimized geometry

a = 5.3508 Å, b = 5.3508 Å, c = 5.3508 Å
α = 90.00°, β = 90.00°, γ = 90.00°
Closest atoms and distances in Å follow each position.
Space group Pm-3m (No. 221)
Asymmetric unit:
V: 0.0000 0.0000 0.0000  6 Pb 2.68
Sb: 0.5000 0.5000 0.5000  12 Pb 3.78
Pb: 0.0000 0.0000 0.5000  2 V 2.68

DOS(E_F), states/eV/cell: 8.712
M_tot, μB per formula unit: 2.2

*b*
Material: VSbPb3
Method: DFT, PBE
State: optimized geometry

a = 5.8297 Å, b = 5.8297 Å, c = 5.8297 Å
α = 90.00°, β = 90.00°, γ = 90.00°
Closest atoms and distances in Å follow each position.
Space group Pm-3m (No. 221)
Asymmetric unit:
V: 0.0000 0.0000 0.0000  12 Pb 4.12
Sb: 0.5000 0.5000 0.5000  6 Pb 2.91
Pb: 0.0000 0.5000 0.5000  2 Sb 2.91

DOS(E_F), states/eV/cell: 10.182
M_tot, μB per formula unit: 4.0

Of them, *a* has the highest stability.

*a*
Material: VSbPb2
Method: DFT, PBE
State: optimized geometry

a = 4.4031 Å, b = 4.4031 Å, c = 22.4502 Å
α = 90.00°, β = 90.00°, γ = 90.00°
Closest atoms and distances in Å follow each position.
Space group I-42d (No. 122)
Asymmetric unit:
V: 0.0000 0.0000 0.0000  4 Sb 3.11, 4 Pb 3.21
Sb: 0.0000 0.0000 0.5000  4 V 3.11, 4 Pb 3.21
Pb: 0.2482 0.2500 0.1250  4 Pb 3.10-3.12, 2 V 3.21, 2 Sb 3.21

DOS(E_F), states/eV/cell: 11.869
M_tot, μB per formula unit: 2.9

*b*
Material: VSbPb2
Method: DFT, PBE
State: optimized geometry

a = 7.5058 Å, b = 7.5058 Å, c = 7.5058 Å
α = 90.00°, β = 90.00°, γ = 90.00°
Closest atoms and distances in Å follow each position.
Space group Fm-3m (No. 225)
Asymmetric unit:
V: 0.0000 0.0000 0.0000  8 Pb 3.25
Sb: 0.0000 0.0000 0.5000  8 Pb 3.25
Pb: 0.2500 0.2500 0.2500  4 Sb 3.25, 4 V 3.25

DOS(E_F), states/eV/cell: 11.986
M_tot, μB per formula unit: 3.5

Of them, *a* has the highest stability.

*a*
Material: SbPbW3
Method: DFT, PBE
State: optimized geometry

a = 5.0333 Å, b = 5.0333 Å, c = 5.0333 Å
α = 90.00°, β = 90.00°, γ = 90.00°
Closest atoms and distances in Å follow each position.
Space group Pm-3m (No. 221)
Asymmetric unit:
Sb: 0.0000 0.0000 0.0000  12 W 3.56
Pb: 0.5000 0.5000 0.5000  6 W 2.52
W: 0.0000 0.5000 0.5000  2 Pb 2.52

DOS(E_F), states/eV/cell: 9.009
M_tot, μB per formula unit: 0.0

*b*
Material: SbPbW3
Method: DFT, PBE
State: optimized geometry

a = 4.9557 Å, b = 4.9557 Å, c = 4.9557 Å
α = 90.00°, β = 90.00°, γ = 90.00°
Closest atoms and distances in Å follow each position.
Space group Pm-3m (No. 221)
Asymmetric unit:
Sb: 0.0000 0.0000 0.0000  6 W 2.48
Pb: 0.5000 0.5000 0.5000  12 W 3.50
W: 0.0000 0.0000 0.5000  2 Sb 2.48

DOS(E_F), states/eV/cell: 5.350
M_tot, μB per formula unit: 0.0

Of them, *b* has the highest stability.